# PaTlCu | Alexandria via LeMat-Bulk | PBE | relaxed
data_PaTlCu
_symmetry_space_group_name_H-M 'P -6 m 2'
_symmetry_Int_Tables_number 187
_symmetry_space_group_name_Hall 'P -6 2'
_cell_length_a 4.8144
_cell_length_b 4.8144
_cell_length_c 3.2418
_cell_angle_alpha 90.00
_cell_angle_beta 90.00
_cell_angle_gamma 120.00
loop_
_atom_site_label
_atom_site_type_symbol
_atom_site_fract_x
_atom_site_fract_y
_atom_site_fract_z
Pa1 Pa 0.0000 0.0000 0.0000
Tl1 Tl 0.3333 0.6667 0.5000
Cu1 Cu 0.6667 0.3333 0.5000
# size of the total moment = 0.62 μB per cell
# E above lowest polymorph = 0.000 eV/atom
# calculated total energy = -5.130 eV/atom
# calculated formation energy = 0.19 eV/atom